# Ta6ReRh, relaxed, DFT GGA-PBE
# Final energy   -11.627 eV per atom
# Mass density   16.5 Mg/m³
# Magnetization   0.000 μB/atom
# DOS at the Fermi energy   4.734 states/eV/f.u.
data_Ta6ReRh
_cell_length_a 4.5798
_cell_length_b 4.5798
_cell_length_c 13.1593
_cell_angle_alpha 90.00
_cell_angle_beta 90.00
_cell_angle_gamma 90.00
_space_group_name_H-M_alt 'I 4/m m m'
_space_group_IT_number 139
_space_group_name_Hall '-I 4 2'
loop_
_atom_site_label
_atom_site_type_symbol
_atom_site_fract_x
_atom_site_fract_y
_atom_site_fract_z
_atom_site_occupancy
Ta1 Ta 0.0000 0.0000 0.2492 1
Ta2 Ta 0.0000 0.5000 0.1216 1
Re1 Re 0.0000 0.0000 0.0000 1
Rh1 Rh 0.0000 0.0000 0.5000 1